No. 1
First-principles (PBE-GGA) data for crystalline KPaNb2O8 at its relaxed geometry, as listed in Alexandria via LeMat-Bulk.

The value obtained for the total energy is -103.684 eV per cell. The energy relative to the elements, uncorrected is -2.774 eV/atom.

Lattice parameters (Å, degrees): 6.1329 6.1329 7.5225 90.00 90.00 120.00
With the nearest neighbours (Å) after each atom.
Space group P-3m1 (No. 164)
Symmetry-distinct sites (fractional):
K 0.0000 0.0000 0.0000 (multiplicity 1)  6 O 2.98
Pa 0.0000 0.0000 0.5000 (multiplicity 1)  6 O 2.18
Nb 0.3333 0.6667 0.2424 (multiplicity 2)  4 O 1.78-1.92
O 0.1624 0.3247 0.3238 (multiplicity 6)  1 Nb 1.92
O 0.3333 0.6667 0.0061 (multiplicity 2)  1 Nb 1.78

No. 2
First-principles (PBE-GGA) data for crystalline K2PaNbO6 at its relaxed geometry, as listed in Alexandria via LeMat-Bulk.

The value obtained for the total energy is -79.436 eV per cell. The energy relative to the elements, uncorrected is -2.793 eV/atom.

Lattice parameters (Å, degrees): 5.9278 5.9278 4.3805 90.00 90.00 90.00
With the nearest neighbours (Å) after each atom.
Space group P4mm (No. 99)
Symmetry-distinct sites (fractional):
K 0.0000 0.5000 0.0000 (multiplicity 2)  12 O 2.94-3.13
Pa 0.0000 0.0000 0.5222 (multiplicity 1)  6 O 2.18-2.20
Nb 0.5000 0.5000 0.4641 (multiplicity 1)  5 O 1.83-2.03
O 0.0000 0.0000 0.0236 (multiplicity 1)  2 Pa 2.18-2.20
O 0.2609 0.2609 0.5303 (multiplicity 4)  1 Nb 2.03, 1 Pa 2.19
O 0.5000 0.5000 0.0454 (multiplicity 1)  1 Nb 1.83

No. 3
First-principles (PBE-GGA) data for crystalline K2PaNb3O12 at its relaxed geometry, as listed in Alexandria via LeMat-Bulk.

The value obtained for the total energy is -434.847 eV per cell. The energy relative to the elements, uncorrected is -2.419 eV/atom.

Lattice parameters (Å, degrees): 7.6431 7.6431 19.0484 90.00 90.00 120.00
With the nearest neighbours (Å) after each atom.
Space group R-3m (No. 166, hexagonal axes)
Symmetry-distinct sites (fractional):
K 0.0000 0.0000 0.1672 (multiplicity 6)  3 O 2.87
Pa 0.0000 0.0000 0.5000 (multiplicity 3)  6 O 2.16
Nb 0.0000 0.5000 0.0000 (multiplicity 9)  6 O 2.00-2.02
O 0.0615 0.5308 0.1036 (multiplicity 18)  1 Nb 2.02, 1 Pa 2.16
O 0.0914 0.5457 0.3496 (multiplicity 18)  2 Nb 2.00

No. 4
First-principles (PBE-GGA) data for crystalline KNb5Pb2O15 at its relaxed geometry, as listed in Alexandria via LeMat-Bulk.

The value obtained for the total energy is -746.871 eV per cell. The energy relative to the elements, uncorrected is -2.325 eV/atom. The energy above the most stable polymorph in this dataset is 0.00 eV per formula unit.

Lattice parameters (Å, degrees): 3.9600 18.0579 18.8945 90.00 90.00 90.00
With the nearest neighbours (Å) after each atom.
Space group Amm2 (No. 38)
Symmetry-distinct sites (fractional):
K 0.0000 0.0000 0.0000 (multiplicity 2)  7 O 2.91-3.13
K 0.0000 0.0000 0.3423 (multiplicity 2)  8 O 2.87-3.21
Nb 0.5000 0.0000 0.1619 (multiplicity 2)  6 O 1.98-2.07
Nb 0.5000 0.0000 0.6701 (multiplicity 2)  4 O 1.91-1.99
Nb 0.5000 0.1027 0.4910 (multiplicity 4)  4 O 1.82-2.02
Nb 0.5000 0.1068 0.8498 (multiplicity 4)  4 O 1.86-2.00
Nb 0.5000 0.1756 0.2783 (multiplicity 4)  4 O 1.85-2.01
Nb 0.5000 0.1844 0.0678 (multiplicity 4)  4 O 1.84-2.02
Pb 0.0000 0.1758 0.7141 (multiplicity 4)  6 O 2.55-2.65
Pb 0.0000 0.2462 0.4306 (multiplicity 4)  4 O 2.48-2.53
O 0.0000 0.0000 0.1552 (multiplicity 2)  2 Nb 1.98
O 0.0000 0.0000 0.6605 (multiplicity 2)  2 Nb 1.99
O 0.0000 0.1132 0.4730 (multiplicity 4)  2 Nb 2.02
O 0.0000 0.1129 0.8350 (multiplicity 4)  2 Nb 2.00
O 0.0000 0.1895 0.0466 (multiplicity 4)  2 Nb 2.02
O 0.0000 0.1903 0.2664 (multiplicity 4)  2 Nb 2.01
O 0.5000 0.0000 0.4523 (multiplicity 2)  2 Nb 1.99
O 0.5000 0.0000 0.8720 (multiplicity 2)  2 Nb 1.97
O 0.5000 0.0770 0.2363 (multiplicity 4)  2 Nb 1.95-1.98
O 0.5000 0.0789 0.5846 (multiplicity 4)  1 Nb 1.82
O 0.5000 0.0801 0.0834 (multiplicity 4)  2 Nb 1.91-2.07
O 0.5000 0.0807 0.7355 (multiplicity 4)  1 Nb 1.91
O 0.5000 0.1425 0.9420 (multiplicity 4)  1 Nb 1.86
O 0.5000 0.1436 0.3711 (multiplicity 4)  1 Nb 1.85
O 0.5000 0.2111 0.7983 (multiplicity 4)  2 Nb 2.08-2.12
O 0.5000 0.2164 0.5050 (multiplicity 4)  2 Nb 2.07-2.15
O 0.5000 0.2198 0.1592 (multiplicity 4)  1 Nb 1.84

Look up the energy relative to the elements, uncorrected of the third one. -2.419 eV/atom